Nd6Ir2Pt: optimized geometry, GGA-PBE.

```
Nd6Ir2Pt
1.0
6.923 0.000 0.000
0.000 7.400 0.000
-6.078 0.000 10.414
Nd Ir Pt
12 4 2
direct
0.082 0.057 0.255
0.082 0.443 0.755
0.269 0.673 0.087
0.269 0.827 0.587
0.405 0.182 0.068
0.405 0.318 0.568
0.595 0.682 0.432
0.595 0.818 0.932
0.731 0.173 0.413
0.731 0.327 0.913
0.918 0.557 0.245
0.918 0.943 0.745
0.326 0.114 0.779
0.326 0.386 0.279
0.674 0.614 0.721
0.674 0.886 0.221
0.000 0.000 0.000
0.000 0.500 0.500
```

raw total energy = -6.40 eV per atom
symmetry = No. 14